[1]
DFT (meta-GGA SCAN) results for a crystal of SnTe2MoP relaxed with PBEsol.

Results
The total energy comes out at -30.081 eV/atom. The calculation puts the formation energy from raw total energies at 1061 meV per atom.

Cell and atoms, written as POSCAR:
```
SnTe2MoP
1.0
4.9810 0.0000 0.0000
0.0000 5.0897 0.0000
0.0000 0.0000 5.0897
P Mo Te Sn
1 1 2 1
Direct
0.0000 0.0000 0.0000
0.5000 0.5000 0.5000
0.0000 0.0000 0.5000
0.0000 0.5000 0.0000
0.5000 0.0000 0.0000
```


[2]
DFT (meta-GGA SCAN) results for a crystal of Fe2CoNi relaxed with PBEsol.

Results
The total energy comes out at -17.547 eV/atom.

Cell and atoms, written as POSCAR:
```
Fe2CoNi
1.0
3.9608 0.0000 0.0000
1.9804 3.4302 0.0000
1.9804 1.1434 3.2340
Ni Co Fe
1 1 2
Direct
0.5000 0.5000 0.5000
0.0000 0.0000 0.0000
0.2500 0.2500 0.2500
0.7500 0.7500 0.7500
```


[3]
DFT (meta-GGA SCAN) results for a crystal of RhWBr relaxed with PBEsol.

Results
The total energy comes out at -40.030 eV/atom. The calculation puts the formation energy from raw total energies at 943 meV per atom.

Cell and atoms, written as POSCAR:
```
RhWBr
1.0
2.9136 0.0000 0.0000
0.0000 4.3202 0.0000
0.0000 -2.1601 3.7414
Rh Br W
1 1 1
Direct
0.6668 0.6667 0.3333
0.1658 0.0000 0.0000
0.1674 0.3333 0.6667
```


[4]
DFT (meta-GGA SCAN) results for a crystal of FeSb2Cl relaxed with PBEsol.

Results
The total energy comes out at -25.114 eV/atom. The calculation puts the formation energy from raw total energies at 43 meV per atom.

Cell and atoms, written as POSCAR:
```
FeSb2Cl
1.0
-2.2404 -1.9432 -1.0338
1.3587 -1.5083 2.3965
-5.9232 3.7774 5.7356
Sb Fe Cl
2 1 1
Direct
0.0000 0.0000 0.0506
0.5000 0.5000 0.7621
0.5000 0.5000 0.2669
0.0000 0.0000 0.4204
```


[5]
DFT (meta-GGA SCAN) results for a crystal of InSiTe relaxed with PBEsol.

Results
The total energy comes out at -26.528 eV/atom. The calculation puts the formation energy from raw total energies at 356 meV per atom.

Cell and atoms, written as POSCAR:
```
InSiTe
1.0
3.5716 0.0000 0.0000
0.0000 3.5716 0.0000
-1.7858 -1.7858 5.6889
Si Te In
1 1 1
Direct
0.6862 0.6862 0.3725
0.2985 0.2985 0.5970
0.0153 0.0153 0.0305
```


[6]
DFT (meta-GGA SCAN) results for a crystal of Ba2MgRe relaxed with PBEsol.

Results
The total energy comes out at -37.777 eV/atom.

Cell and atoms, written as POSCAR:
```
Ba2MgRe
1.0
3.6891 0.0000 0.0000
0.0000 5.7256 0.0000
0.0000 0.0000 5.7256
Ba Mg Re
2 1 1
Direct
0.0000 0.0000 0.5000
0.0000 0.5000 0.0000
0.5000 0.5000 0.5000
0.5000 0.0000 0.0000
```